#w
A plane-wave DFT calculation with GGA-PBE was carried out for a geometry-optimized BSbI2F structure.

Cell lengths 5.9313, 5.9313, 4.2017 Å; angles 90.00, 90.00, 90.00 degrees
With the nearest neighbours (Å) after each atom.
Element x y z (fractional)
B (0.0000, 0.0000, 0.0000)  8 I 3.63
Sb (0.5000, 0.5000, 0.0000)  2 F 2.10
I (0.0000, 0.5000, 0.5000)  2 F 2.97
I (0.5000, 0.0000, 0.5000)  2 F 2.97
F (0.5000, 0.5000, 0.5000)  2 Sb 2.10

Computed properties:
Space group = P4/mmm (123)
Calculated volume = 29.56 A^3/atom
Total magnetization = 0.0 μB per formula unit

***

#x
A plane-wave DFT calculation with GGA-PBE was carried out for a geometry-optimized BSbI2F structure.

Cell lengths 5.0933, 5.0933, 4.6680 Å; angles 90.00, 90.00, 90.00 degrees
With the nearest neighbours (Å) after each atom.
Element x y z (fractional)
B (0.0000, 0.0000, 0.0000)  2 Sb 2.33, 4 I 2.55
Sb (0.0000, 0.0000, 0.5000)  2 B 2.33
I (0.0000, 0.5000, 0.0000)  2 B 2.55
I (0.5000, 0.0000, 0.0000)  2 B 2.55
F (0.5000, 0.5000, 0.5000)  8 I 3.45, 4 Sb 3.60

Computed properties:
Space group = P4/mmm (123)
Calculated volume = 24.22 A^3/atom
Total magnetization = 0.0 μB per formula unit

***

#y
A plane-wave DFT calculation with GGA-PBE was carried out for a geometry-optimized BSbI2F structure.

Cell lengths 5.3598, 5.3598, 3.8340 Å; angles 90.00, 90.00, 90.00 degrees
With the nearest neighbours (Å) after each atom.
Element x y z (fractional)
B (0.0000, 0.0000, 0.0000)  2 F 1.92
Sb (0.5000, 0.5000, 0.5000)  8 I 3.29
I (0.0000, 0.5000, 0.0000)  2 B 2.68
I (0.5000, 0.0000, 0.0000)  2 B 2.68
F (0.0000, 0.0000, 0.5000)  2 B 1.92

Computed properties:
Space group = P4/mmm (123)
Calculated volume = 22.03 A^3/atom
Total magnetization = 0.0 μB per formula unit

***

Most stable = #y

***

#w
A plane-wave DFT calculation with GGA-PBE was carried out for a geometry-optimized BTeI2F structure.

Cell lengths 5.0498, 5.0498, 4.7634 Å; angles 90.00, 90.00, 90.00 degrees
With the nearest neighbours (Å) after each atom.
Element x y z (fractional)
B (0.0000, 0.0000, 0.0000)  2 Te 2.38, 4 I 2.52
Te (0.0000, 0.0000, 0.5000)  2 B 2.38
I (0.0000, 0.5000, 0.0000)  2 B 2.52
I (0.5000, 0.0000, 0.0000)  2 B 2.52
F (0.5000, 0.5000, 0.5000)  8 I 3.47, 4 Te 3.57

Computed properties:
Space group = P4/mmm (123)
Calculated volume = 24.29 A^3/atom
Total magnetization = 0.0 μB per formula unit

***

#x
A plane-wave DFT calculation with GGA-PBE was carried out for a geometry-optimized BTeI2F structure.

Cell lengths 5.9338, 5.9338, 4.2220 Å; angles 90.00, 90.00, 90.00 degrees
With the nearest neighbours (Å) after each atom.
Element x y z (fractional)
B (0.0000, 0.0000, 0.0000)  8 I 3.64
Te (0.5000, 0.5000, 0.0000)  2 F 2.11
I (0.0000, 0.5000, 0.5000)  2 F 2.97
I (0.5000, 0.0000, 0.5000)  2 F 2.97
F (0.5000, 0.5000, 0.5000)  2 Te 2.11

Computed properties:
Space group = P4/mmm (123)
Calculated volume = 29.73 A^3/atom
Total magnetization = 0.0 μB per formula unit

***

Most stable = #w

***

#w
A plane-wave DFT calculation with GGA-PBE was carried out for a geometry-optimized InB3F structure.

Cell lengths 3.9852, 3.9852, 3.9852 Å; angles 90.00, 90.00, 90.00 degrees
With the nearest neighbours (Å) after each atom.
Element x y z (fractional)
In (0.0000, 0.0000, 0.0000)  12 B 2.82
B (0.0000, 0.5000, 0.5000)  2 F 1.99
B (0.5000, 0.0000, 0.5000)  2 F 1.99
B (0.5000, 0.5000, 0.0000)  2 F 1.99
F (0.5000, 0.5000, 0.5000)  6 B 1.99

Computed properties:
Space group = Pm-3m (221)
Calculated volume = 12.66 A^3/atom
Total magnetization = 0.0 μB per formula unit

***

#x
A plane-wave DFT calculation with GGA-PBE was carried out for a geometry-optimized InB3F structure.

Cell lengths 4.5603, 4.5603, 4.5603 Å; angles 90.00, 90.00, 90.00 degrees
With the nearest neighbours (Å) after each atom.
Element x y z (fractional)
In (0.0000, 0.0000, 0.0000)  6 B 2.28
B (0.0000, 0.0000, 0.5000)  2 In 2.28
B (0.0000, 0.5000, 0.0000)  2 In 2.28
B (0.5000, 0.0000, 0.0000)  2 In 2.28
F (0.5000, 0.5000, 0.5000)  12 B 3.22

Computed properties:
Space group = Pm-3m (221)
Calculated volume = 18.97 A^3/atom
Total magnetization = 0.0 μB per formula unit

***

Most stable = #w